Entry 1:
# LaIrOs | Alexandria | PBE | relaxed
# Spin magnetization: 0.000 μB per cell
# DOS(E_F): 4.86 states/eV/f.u.
data_LaIrOs
_symmetry_space_group_name_H-M 'P 3 m 1'
_symmetry_Int_Tables_number 156
_cell_length_a 2.8885
_cell_length_b 2.8885
_cell_length_c 7.6994
_cell_angle_alpha 90.00
_cell_angle_beta 90.00
_cell_angle_gamma 120.00
loop_
_symmetry_equiv_pos_as_xyz
'x,y,z'
'-y,x-y,z'
'-x+y,-x,z'
'-y,-x,z'
'-x+y,y,z'
'x,x-y,z'
loop_
_atom_site_label
_atom_site_fract_x
_atom_site_fract_y
_atom_site_fract_z
La1 0.0000 0.0000 0.0000
Ir1 0.3333 0.6667 0.6355
Os1 0.6667 0.3333 0.3674

***

Entry 2:
# LaIr4Os | Alexandria | PBE | relaxed
# Spin magnetization: 8.374 μB per cell
# DOS(E_F): 9.23 states/eV/f.u.
data_LaIr4Os
_symmetry_space_group_name_H-M 'F -4 3 m'
_symmetry_Int_Tables_number 216
_symmetry_space_group_name_Hall 'F -4 2 3'
_cell_length_a 7.5018
_cell_length_b 7.5018
_cell_length_c 7.5018
_cell_angle_alpha 90.00
_cell_angle_beta 90.00
_cell_angle_gamma 90.00
loop_
_atom_site_label
_atom_site_fract_x
_atom_site_fract_y
_atom_site_fract_z
La1 0.0000 0.0000 0.0000
Ir1 0.1241 0.1241 0.3759
Os1 0.2500 0.2500 0.7500

***

Entry 3:
# LaIrOs3 | Alexandria | PBE | relaxed
# Spin magnetization: 2.720 μB per cell
# DOS(E_F): 8.05 states/eV/f.u.
data_LaIrOs3
_symmetry_space_group_name_H-M 'P m -3 m'
_symmetry_Int_Tables_number 221
_symmetry_space_group_name_Hall '-P 4 2 3'
_cell_length_a 4.7388
_cell_length_b 4.7388
_cell_length_c 4.7388
_cell_angle_alpha 90.00
_cell_angle_beta 90.00
_cell_angle_gamma 90.00
loop_
_atom_site_label
_atom_site_fract_x
_atom_site_fract_y
_atom_site_fract_z
La1 0.0000 0.0000 0.0000
Ir1 0.5000 0.5000 0.5000
Os1 0.0000 0.0000 0.5000

***

The calculation returns the following calculated formation energy values, one per record and in order: 0.57 0.23 3.22 eV/atom.